No. 1
# La2AsSe2 PBE relaxed
data_La2AsSe2
_chemical_formula_sum 'La4 As2 Se4'
_space_group_name_H-M_alt 'P 4/m b m'
_space_group_IT_number 127
_space_group_name_Hall '-P 4 2ab'
_cell_length_a 8.3131
_cell_length_b 8.3131
_cell_length_c 3.9851
_cell_angle_alpha 90.00
_cell_angle_beta 90.00
_cell_angle_gamma 90.00
loop_
_atom_site_label
_atom_site_type_symbol
_atom_site_fract_x
_atom_site_fract_y
_atom_site_fract_z
La1 La 0.1673 0.3327 0.0000
As1 As 0.0000 0.0000 0.0000
Se1 Se 0.1372 0.6372 0.5000
# **Formation energy without anion corrections**: -1.543 eV per atom
# **Fermi-level density of states**: 3.19 states/eV/cell
# **Final energy**: -58.38 eV per cell


No. 2
# La2As2Se PBE relaxed
data_La2As2Se
_chemical_formula_sum 'La4 As4 Se2'
_space_group_name_H-M_alt 'P 4/m b m'
_space_group_IT_number 127
_space_group_name_Hall '-P 4 2ab'
_cell_length_a 8.0749
_cell_length_b 8.0749
_cell_length_c 4.2760
_cell_angle_alpha 90.00
_cell_angle_beta 90.00
_cell_angle_gamma 90.00
loop_
_atom_site_label
_atom_site_type_symbol
_atom_site_fract_x
_atom_site_fract_y
_atom_site_fract_z
La1 La 0.1821 0.3179 0.0000
As1 As 0.1077 0.6077 0.5000
Se1 Se 0.0000 0.0000 0.0000
# **Formation energy without anion corrections**: -1.407 eV per atom
# **Fermi-level density of states**: 3.26 states/eV/cell
# **Final energy**: -59.35 eV per cell


No. 3
# La2AsSe2 PBE relaxed
data_La2AsSe2
_chemical_formula_sum 'La4 As2 Se4'
_space_group_name_H-M_alt 'I 4/m m m'
_space_group_IT_number 139
_space_group_name_Hall '-I 4 2'
_cell_length_a 5.7672
_cell_length_b 5.7672
_cell_length_c 8.8281
_cell_angle_alpha 90.00
_cell_angle_beta 90.00
_cell_angle_gamma 90.00
loop_
_atom_site_label
_atom_site_type_symbol
_atom_site_fract_x
_atom_site_fract_y
_atom_site_fract_z
La1 La 0.0000 0.5000 0.2500
As1 As 0.0000 0.0000 0.0000
Se1 Se 0.0000 0.0000 0.3195
# **Formation energy without anion corrections**: -1.342 eV per atom
# **Fermi-level density of states**: 5.50 states/eV/cell
# **Final energy**: -56.37 eV per cell